## CaNbB2S (GGA-PBE)

Data for a relaxed structure of CaNbB2S.

```
5
Lattice="4.258 0.000 0.000 0.000 4.258 0.000 0.000 0.000 4.534" Properties=species:S:1:pos:R:3 pbc="T T T"
Ca 0.000 0.000 0.000
Nb 2.129 2.129 0.000
B 0.000 2.129 2.267
B 2.129 0.000 2.267
S 2.129 2.129 2.267
```

Values from the calculation:
**DOS(E_F)**: 3.2 states/eV per cell
**Energy relative to the elements, uncorrected**: 1.196 eV per atom